# 1
Here is a relaxed structure of GeAs2Rh2 from Alexandria via LeMat-Bulk. Energies are from PBE.

## Properties
Energy above the lowest structure with this stoichiometry   0 meV/atom
Total moment   0.000 μB/f.u.
DFT formation energy   -116 meV per atom

Geometry as CIF:
```
data_GeAs2Rh2
_cell_length_a 7.466
_cell_length_b 7.466
_cell_length_c 2.953
_cell_angle_alpha 90.00
_cell_angle_beta 90.00
_cell_angle_gamma 90.00
_space_group_name_H-M_alt 'P 1'
_space_group_IT_number 1
_space_group_name_Hall 'P 1'
loop_
_atom_site_label
_atom_site_type_symbol
_atom_site_fract_x
_atom_site_fract_y
_atom_site_fract_z
As1 As 0.151 0.651 0.500
As2 As 0.651 0.849 0.500
As3 As 0.849 0.349 0.500
As4 As 0.349 0.151 0.500
Rh1 Rh 0.361 0.861 0.000
Rh2 Rh 0.861 0.639 0.000
Rh3 Rh 0.639 0.139 0.000
Rh4 Rh 0.139 0.361 0.000
Ge1 Ge 0.000 0.000 0.000
Ge2 Ge 0.500 0.500 0.000
```


# 2
Here is a relaxed structure of Pm3ErFe from Alexandria via LeMat-Bulk. Energies are from PBE.

## Properties
Total moment   0.007 μB/f.u.
DFT formation energy   203 meV per atom

Geometry as CIF:
```
data_Pm3ErFe
_cell_length_a 5.354
_cell_length_b 5.354
_cell_length_c 5.354
_cell_angle_alpha 90.00
_cell_angle_beta 90.00
_cell_angle_gamma 90.00
_space_group_name_H-M_alt 'P 1'
_space_group_IT_number 1
_space_group_name_Hall 'P 1'
loop_
_atom_site_label
_atom_site_type_symbol
_atom_site_fract_x
_atom_site_fract_y
_atom_site_fract_z
Pm1 Pm 0.000 0.500 0.000
Pm2 Pm 0.000 0.000 0.500
Pm3 Pm 0.500 0.000 0.000
Fe1 Fe 0.000 0.000 0.000
Er1 Er 0.500 0.500 0.500
```


# 3
Here is a relaxed structure of BiAs3C from Alexandria via LeMat-Bulk. Energies are from PBE.

## Properties
Energy above the lowest structure with this stoichiometry   0 meV/atom
Total moment   0.000 μB/f.u.
DFT formation energy   951 meV per atom

Geometry as CIF:
```
data_BiAs3C
_cell_length_a 4.542
_cell_length_b 4.542
_cell_length_c 4.542
_cell_angle_alpha 90.00
_cell_angle_beta 90.00
_cell_angle_gamma 90.00
_space_group_name_H-M_alt 'P 1'
_space_group_IT_number 1
_space_group_name_Hall 'P 1'
loop_
_atom_site_label
_atom_site_type_symbol
_atom_site_fract_x
_atom_site_fract_y
_atom_site_fract_z
C1 C 0.000 0.000 0.000
As1 As 0.000 0.500 0.000
As2 As 0.000 0.000 0.500
As3 As 0.500 0.000 0.000
Bi1 Bi 0.500 0.500 0.500
```


# 4
Here is a relaxed structure of BeAlGa2Ru from Alexandria via LeMat-Bulk. Energies are from PBE.

## Properties
Total moment   0.617 μB/f.u.
DFT formation energy   657 meV per atom

Geometry as CIF:
```
data_BeAlGa2Ru
_cell_length_a 4.216
_cell_length_b 4.324
_cell_length_c 4.216
_cell_angle_alpha 90.00
_cell_angle_beta 90.00
_cell_angle_gamma 90.00
_space_group_name_H-M_alt 'P 1'
_space_group_IT_number 1
_space_group_name_Hall 'P 1'
loop_
_atom_site_label
_atom_site_type_symbol
_atom_site_fract_x
_atom_site_fract_y
_atom_site_fract_z
Ru1 Ru 0.500 0.500 0.500
Al1 Al 0.000 0.500 0.000
Ga1 Ga 0.000 0.000 0.500
Ga2 Ga 0.500 0.000 0.000
Be1 Be 0.000 0.000 0.000
```


# 5
Here is a relaxed structure of Sm2DyCrN4 from Alexandria via LeMat-Bulk. Energies are from PBE.

## Properties
Formation energy (no corrections)   -104.7 kJ per mole of atoms
Total moment   2.181 μB/f.u.

Geometry as CIF:
```
data_Sm2DyCrN4
_cell_length_a 3.412
_cell_length_b 6.023
_cell_length_c 11.997
_cell_angle_alpha 90.00
_cell_angle_beta 90.00
_cell_angle_gamma 106.45
_space_group_name_H-M_alt 'P 1'
_space_group_IT_number 1
_space_group_name_Hall 'P 1'
loop_
_atom_site_label
_atom_site_type_symbol
_atom_site_fract_x
_atom_site_fract_y
_atom_site_fract_z
Sm1 Sm 0.368 0.735 0.543
Sm2 Sm 0.632 0.265 0.043
Sm3 Sm 0.632 0.265 0.457
Sm4 Sm 0.368 0.735 0.957
Dy1 Dy 0.114 0.228 0.750
Dy2 Dy 0.886 0.772 0.250
Cr1 Cr 0.841 0.682 0.750
Cr2 Cr 0.159 0.318 0.250
N1 N 0.272 0.543 0.138
N2 N 0.728 0.457 0.638
N3 N 0.728 0.457 0.862
N4 N 0.272 0.543 0.362
N5 N 0.000 0.000 0.500
N6 N 0.000 0.000 0.000
N7 N 0.428 0.855 0.750
N8 N 0.572 0.145 0.250
```


# 6
Here is a relaxed structure of LaTl2Pt from Alexandria via LeMat-Bulk. Energies are from PBE.

## Properties
Total moment   0.000 μB/f.u.
DFT formation energy   -340 meV per atom

Geometry as CIF:
```
data_LaTl2Pt
_cell_length_a 5.164
_cell_length_b 5.164
_cell_length_c 5.164
_cell_angle_alpha 60.00
_cell_angle_beta 60.00
_cell_angle_gamma 60.00
_space_group_name_H-M_alt 'P 1'
_space_group_IT_number 1
_space_group_name_Hall 'P 1'
loop_
_atom_site_label
_atom_site_type_symbol
_atom_site_fract_x
_atom_site_fract_y
_atom_site_fract_z
Tl1 Tl 0.250 0.250 0.250
Tl2 Tl 0.750 0.750 0.750
Pt1 Pt 0.500 0.500 0.500
La1 La 0.000 0.000 0.000
```


# 7
Here is a relaxed structure of Rb4InBi4 from Alexandria via LeMat-Bulk. Energies are from PBE.

## Properties
Total moment   0.377 μB/f.u.
DFT formation energy   -102 meV per atom

Geometry as CIF:
```
data_Rb4InBi4
_cell_length_a 7.459
_cell_length_b 10.060
_cell_length_c 7.459
_cell_angle_alpha 68.24
_cell_angle_beta 90.00
_cell_angle_gamma 111.76
_space_group_name_H-M_alt 'P 1'
_space_group_IT_number 1
_space_group_name_Hall 'P 1'
loop_
_atom_site_label
_atom_site_type_symbol
_atom_site_fract_x
_atom_site_fract_y
_atom_site_fract_z
Rb1 Rb 0.174 0.722 0.452
Rb2 Rb 0.548 0.722 0.826
Rb3 Rb 0.452 0.278 0.548
Rb4 Rb 0.826 0.278 0.174
In1 In 0.000 0.000 0.000
Bi1 Bi 0.295 0.287 0.008
Bi2 Bi 0.992 0.287 0.705
Bi3 Bi 0.008 0.713 0.992
Bi4 Bi 0.705 0.713 0.295
```


# 8
Here is a relaxed structure of Zn3CrCl from Alexandria via LeMat-Bulk. Energies are from PBE.

## Properties
Formation energy (no corrections)   132.9 kJ per mole of atoms
Energy above the lowest structure with this stoichiometry   913 meV/atom
Total moment   0.000 μB/f.u.

Geometry as CIF:
```
data_Zn3CrCl
_cell_length_a 4.664
_cell_length_b 4.664
_cell_length_c 4.664
_cell_angle_alpha 90.00
_cell_angle_beta 90.00
_cell_angle_gamma 90.00
_space_group_name_H-M_alt 'P 1'
_space_group_IT_number 1
_space_group_name_Hall 'P 1'
loop_
_atom_site_label
_atom_site_type_symbol
_atom_site_fract_x
_atom_site_fract_y
_atom_site_fract_z
Cr1 Cr 0.500 0.500 0.500
Zn1 Zn 0.000 0.500 0.000
Zn2 Zn 0.000 0.000 0.500
Zn3 Zn 0.500 0.000 0.000
Cl1 Cl 0.000 0.000 0.000
```


# 9
Here is a relaxed structure of TaSe from Alexandria via LeMat-Bulk. Energies are from PBE.

## Properties
Formation energy (no corrections)   -37.5 kJ per mole of atoms
Total moment   0.000 μB/f.u.

Geometry as CIF:
```
data_TaSe
_cell_length_a 3.447
_cell_length_b 11.917
_cell_length_c 5.962
_cell_angle_alpha 90.00
_cell_angle_beta 90.00
_cell_angle_gamma 90.00
_space_group_name_H-M_alt 'P 1'
_space_group_IT_number 1
_space_group_name_Hall 'P 1'
loop_
_atom_site_label
_atom_site_type_symbol
_atom_site_fract_x
_atom_site_fract_y
_atom_site_fract_z
Ta1 Ta 0.000 0.313 0.924
Ta2 Ta 0.000 0.687 0.924
Ta3 Ta 0.000 0.813 0.424
Ta4 Ta 0.000 0.187 0.424
Ta5 Ta 0.500 0.000 0.473
Ta6 Ta 0.500 0.500 0.973
Se1 Se 0.500 0.836 0.764
Se2 Se 0.500 0.164 0.764
Se3 Se 0.500 0.336 0.264
Se4 Se 0.500 0.664 0.264
Se5 Se 0.000 0.000 0.153
Se6 Se 0.000 0.500 0.653
```


# 10
Here is a relaxed structure of LiCaPr2 from Alexandria via LeMat-Bulk. Energies are from PBE.

## Properties
Energy above the lowest structure with this stoichiometry   83 meV/atom
Total moment   0.000 μB/f.u.
DFT formation energy   156 meV per atom

Geometry as CIF:
```
data_LiCaPr2
_cell_length_a 5.652
_cell_length_b 4.900
_cell_length_c 4.900
_cell_angle_alpha 90.00
_cell_angle_beta 90.00
_cell_angle_gamma 90.00
_space_group_name_H-M_alt 'P 1'
_space_group_IT_number 1
_space_group_name_Hall 'P 1'
loop_
_atom_site_label
_atom_site_type_symbol
_atom_site_fract_x
_atom_site_fract_y
_atom_site_fract_z
Pr1 Pr 0.000 0.000 0.500
Pr2 Pr 0.000 0.500 0.000
Ca1 Ca 0.500 0.500 0.500
Li1 Li 0.500 0.000 0.000
```


# 11
Here is a relaxed structure of Na2PaTiSe4 from Alexandria via LeMat-Bulk. Energies are from PBE.

## Properties
Formation energy (no corrections)   -119.6 kJ per mole of atoms
Total moment   2.998 μB/f.u.

Geometry as CIF:
```
data_Na2PaTiSe4
_cell_length_a 3.995
_cell_length_b 6.728
_cell_length_c 7.526
_cell_angle_alpha 107.78
_cell_angle_beta 90.00
_cell_angle_gamma 90.00
_space_group_name_H-M_alt 'P 1'
_space_group_IT_number 1
_space_group_name_Hall 'P 1'
loop_
_atom_site_label
_atom_site_type_symbol
_atom_site_fract_x
_atom_site_fract_y
_atom_site_fract_z
Na1 Na 0.500 0.000 0.500
Na2 Na 0.000 0.500 0.500
Pa1 Pa 0.000 0.000 0.000
Ti1 Ti 0.500 0.500 0.000
Se1 Se 0.500 0.259 0.232
Se2 Se 0.500 0.741 0.768
Se3 Se 0.000 0.274 0.780
Se4 Se 0.000 0.726 0.220
```


# 12
Here is a relaxed structure of Ho3TmIr3 from Alexandria via LeMat-Bulk. Energies are from PBE.

## Properties
Energy above the lowest structure with this stoichiometry   0 meV/atom
Total moment   0.000 μB/f.u.
DFT formation energy   -771 meV per atom

Geometry as CIF:
```
data_Ho3TmIr3
_cell_length_a 5.872
_cell_length_b 5.897
_cell_length_c 5.872
_cell_angle_alpha 109.56
_cell_angle_beta 109.39
_cell_angle_gamma 109.56
_space_group_name_H-M_alt 'P 1'
_space_group_IT_number 1
_space_group_name_Hall 'P 1'
loop_
_atom_site_label
_atom_site_type_symbol
_atom_site_fract_x
_atom_site_fract_y
_atom_site_fract_z
Ho1 Ho 0.500 0.004 0.000
Ho2 Ho 0.500 0.504 0.500
Ho3 Ho 0.000 0.004 0.500
Tm1 Tm 0.000 0.503 0.000
Ir1 Ir 0.500 0.504 0.000
Ir2 Ir 0.500 0.004 0.500
Ir3 Ir 0.000 0.504 0.500
```